Record 1
Cs3Dy2TmTe6: relaxed, PBE.

Properties
Total magnetization in μB/f.u.: 0.0
Formation energy (no corrections) in meV/atom: -1377
Symmetry: C2/m
Calculated density in g/cm³: 5.77
Crystal system: monoclinic
Electronic total energy in eV/atom: -4.300

Structure (POSCAR):
```
Cs3Dy2TmTe6
1.0
-0.803 -4.475 -6.414
-2.990 -2.397 6.865
-6.412 6.403 -2.058
Cs Dy Tm Te
3 2 1 6
Cartesian
-5.830 0.457 3.610 Cs
-4.375 -0.925 -5.218 Cs
-5.102 -0.234 -0.804 Cs
-2.261 -3.090 2.437 Dy
-1.532 -3.782 -1.986 Dy
0.000 0.000 0.000 Tm
-7.768 -0.453 -3.517 Te
-3.991 -3.823 -0.059 Te
-2.437 -0.016 1.909 Te
-8.491 0.235 0.873 Te
-6.214 3.354 -1.549 Te
-1.714 -0.703 -2.481 Te
```

***

Record 2
Cs4DyTm3Te8: relaxed, PBE.

Properties
Total magnetization in μB/f.u.: 0.0
Formation energy (no corrections) in meV/atom: -1365
Symmetry: R-3m
Calculated density in g/cm³: 5.85
Crystal system: trigonal
Electronic total energy in eV/atom: -4.275

Structure (POSCAR):
```
Cs4DyTm3Te8
1.0
-1.419 1.053 8.870
8.285 -5.827 2.017
1.424 7.231 -5.241
Cs Dy Tm Te
4 1 3 8
Cartesian
-0.709 0.526 4.435 Cs
0.003 4.142 1.814 Cs
0.000 0.000 0.000 Cs
0.712 3.615 -2.621 Cs
4.142 -2.913 1.008 Dy
3.433 -2.387 5.443 Tm
4.145 1.228 2.823 Tm
4.855 0.702 -1.612 Tm
6.738 3.157 -1.585 Te
6.031 -0.431 1.016 Te
2.980 2.380 0.194 Te
6.034 3.680 2.816 Te
2.257 -1.223 2.829 Te
5.311 0.077 5.451 Te
2.259 2.888 4.629 Te
1.553 -0.701 7.230 Te
```

***

Record 3
Cs4Dy3TmTe8: relaxed, PBE.

Properties
Total magnetization in μB/f.u.: 0.0
Formation energy (no corrections) in meV/atom: -1379
Symmetry: R-3m
Calculated density in g/cm³: 5.75
Crystal system: trigonal
Electronic total energy in eV/atom: -4.305

Structure (POSCAR):
```
Cs4Dy3TmTe8
1.0
9.085 0.000 0.000
0.000 10.310 0.864
-4.543 -4.541 6.425
Cs Dy Tm Te
4 3 1 8
Cartesian
4.543 0.000 0.000 Cs
2.271 -2.271 3.212 Cs
0.000 0.000 0.000 Cs
-2.271 -2.271 3.212 Cs
4.543 5.155 0.432 Dy
2.271 2.884 3.644 Dy
-2.271 2.884 3.644 Dy
0.000 5.155 0.432 Tm
-2.289 2.738 6.766 Te
0.000 5.026 3.529 Te
0.000 0.746 3.738 Te
2.289 2.738 6.766 Te
2.254 3.031 0.523 Te
4.543 5.023 3.551 Te
4.543 0.743 3.760 Te
6.831 3.031 0.523 Te
```

***

Record 4
Cs3DyTm2Te6: relaxed, PBE.

Properties
Total magnetization in μB/f.u.: 0.0
Formation energy (no corrections) in meV/atom: -1367
Symmetry: C2/m
Calculated density in g/cm³: 5.83
Crystal system: monoclinic
Electronic total energy in eV/atom: -4.280

Structure (POSCAR):
```
Cs3DyTm2Te6
1.0
7.838 -0.001 0.000
-3.918 6.788 0.000
-1.307 -2.263 8.910
Cs Dy Tm Te
3 1 2 6
Cartesian
-2.622 4.531 4.455 Cs
5.235 -0.007 4.455 Cs
1.306 2.262 4.455 Cs
0.000 0.000 0.000 Dy
-0.001 4.526 0.000 Tm
3.920 2.261 0.000 Tm
3.930 2.242 7.234 Te
2.602 4.506 1.674 Te
-1.317 2.282 1.677 Te
-0.022 4.524 7.234 Te
0.011 0.018 7.237 Te
2.634 0.000 1.677 Te
```

***

Record 5
CsDyTmTe3: relaxed, PBE.

Properties
Total magnetization in μB/f.u.: 0.0
Formation energy (no corrections) in meV/atom: -1223
Symmetry: P2_1/m
DOS(E_F) in states/eV/f.u.: 3.7
Calculated density in g/cm³: 5.75
Crystal system: monoclinic
Electronic total energy in eV/atom: -4.448

Structure (POSCAR):
```
CsDyTmTe3
1.0
4.907 0.000 0.000
0.000 9.597 -1.209
0.000 -3.794 10.866
Cs Dy Tm Te
2 2 2 6
Cartesian
1.227 1.325 2.417 Cs
3.680 4.478 7.241 Cs
1.227 5.941 0.477 Dy
3.680 -0.138 9.180 Dy
1.227 -1.116 6.689 Tm
3.680 6.919 2.968 Tm
3.680 8.019 0.258 Te
1.227 -2.216 9.400 Te
1.227 5.766 4.073 Te
3.680 0.037 5.584 Te
3.680 4.184 1.291 Te
1.227 1.619 8.366 Te
```

***

Record 6
Cs2Dy2UTe6: relaxed, PBE.

Properties
Total magnetization in μB/f.u.: 2.0
Formation energy (no corrections) in meV/atom: -1191
Symmetry: C2/m
DOS(E_F) in states/eV/f.u.: 10.4
Calculated density in g/cm³: 5.59
Crystal system: monoclinic
Electronic total energy in eV/atom: -4.923

Structure (POSCAR):
```
Cs2Dy2UTe6
1.0
-0.372 -4.588 6.195
6.858 2.271 -2.716
-2.487 8.171 4.271
Cs Dy U Te
2 2 1 6
Cartesian
0.840 -3.437 4.701 Cs
5.645 1.121 -1.221 Cs
3.210 4.076 2.383 Dy
0.788 1.779 5.368 Dy
-1.243 4.085 2.136 U
3.034 3.922 5.480 Te
0.971 6.222 2.275 Te
0.965 1.932 2.270 Te
-1.409 3.964 5.209 Te
3.028 -0.367 5.476 Te
5.408 1.891 2.542 Te
```

***

Record 7
Cs2DyU2Te6: relaxed, PBE.

Properties
Total magnetization in μB/f.u.: 5.0
Formation energy (no corrections) in meV/atom: -1010
Symmetry: C2/m
DOS(E_F) in states/eV/f.u.: 16.1
Calculated density in g/cm³: 5.83
Crystal system: monoclinic
Electronic total energy in eV/atom: -5.350

Structure (POSCAR):
```
Cs2DyU2Te6
1.0
7.726 -0.027 0.069
-3.842 6.703 0.069
-1.376 -2.366 9.149
Cs Dy U Te
2 1 2 6
Cartesian
5.805 1.090 0.069 Cs
-1.921 5.585 0.069 Cs
-0.688 -1.183 4.575 Dy
-0.679 3.280 4.644 U
3.187 1.030 4.644 U
1.879 3.230 6.399 Te
-1.973 1.025 6.337 Te
0.628 1.080 2.888 Te
1.866 -1.209 6.337 Te
4.481 3.285 2.951 Te
0.641 5.519 2.951 Te
```

***

Record 8
Cs3Dy2YTe6: relaxed, PBE.

Properties
Total magnetization in μB/f.u.: 0.0
Formation energy (no corrections) in meV/atom: -1392
Symmetry: C2/m
Calculated density in g/cm³: 5.45
Crystal system: monoclinic
Electronic total energy in eV/atom: -4.482

Structure (POSCAR):
```
Cs3Dy2YTe6
1.0
7.889 -0.001 0.000
-3.944 6.833 0.000
-1.316 -2.278 8.918
Cs Dy Y Te
3 2 1 6
Cartesian
-2.631 4.556 4.459 Cs
5.261 -0.002 4.459 Cs
1.315 2.277 4.459 Cs
0.001 4.555 0.000 Dy
3.945 2.277 0.000 Dy
0.000 0.000 0.000 Y
3.946 2.273 7.226 Te
2.629 4.551 1.691 Te
-1.316 2.280 1.692 Te
-0.003 4.554 7.226 Te
0.001 0.002 7.227 Te
2.633 0.000 1.692 Te
```